## BeAu2C (GGA-PBE)

Data for a geometry-optimized BeAu2C structure.

* calculated formation energy: 1.250 eV per atom
* total energy: -3.63 eV per atom
* calculated volume: 13.0 A^3/atom

Cell: 5.9310 5.9310 5.9310 Å, 90.00 90.00 90.00°
With the nearest neighbours (Å) after each atom.
Space group Fm-3m (No. 225)
Inequivalent atoms, fractional coordinates:
Be1 0.0000 0.0000 0.0000 (multiplicity 4)  8 Au 2.57
Au1 0.2500 0.2500 0.2500 (multiplicity 8)  4 Be 2.57, 4 C 2.57
C1 0.0000 0.0000 0.5000 (multiplicity 4)  8 Au 2.57

---

## PmInBi3 (GGA-PBE)

Data for a geometry-optimized PmInBi3 structure.

* calculated formation energy: -0.345 eV per atom
* total energy: -4.17 eV per atom
* calculated volume: 31.4 A^3/atom

Cell: 14.8585 6.4048 6.6030 Å, 90.00 90.00 90.00°
With the nearest neighbours (Å) after each atom.
Space group Pbcm (No. 57)
Inequivalent atoms, fractional coordinates:
Pm1 0.1737 0.0009 0.2500 (multiplicity 4)  9 Bi 3.23-3.61
In1 0.3889 0.7500 0.0000 (multiplicity 4)  2 In 3.30, 6 Bi 3.39-3.57
Bi1 0.0019 0.7500 0.0000 (multiplicity 4)  4 Bi 3.20-3.30, 4 Pm 3.44-3.48
Bi2 0.2190 0.0052 0.7500 (multiplicity 4)  1 Bi 3.23, 4 Pm 3.23-3.37, 2 In 3.43
Bi3 0.3988 0.2122 0.2500 (multiplicity 4)  3 Bi 3.23-3.34, 4 In 3.39-3.57, 1 Pm 3.61